1.
DFT (GGA-PBEsol) results for a relaxed InHgMo2 crystal.

## Properties
SG: I-4m2, No. 119
Energy of formation (eV/atom): 0.477

extended XYZ file:
```
4
Lattice="-2.0550 2.0550 4.0967 2.0550 -2.0550 4.0967 2.0550 2.0550 -4.0967" Properties=species:S:1:pos:R:3 pbc="T T T"
In 0.0000 0.0000 0.0000
Hg 2.0550 0.0000 2.0483
Mo 0.0000 0.0000 4.0967
Mo 0.0000 2.0550 2.0483
```


2.
DFT (GGA-PBEsol) results for a relaxed InHgN3 crystal.

## Properties
SG: Pm-3m, No. 221
Formation energy (no corrections) (kJ/mol of atoms): 214

extended XYZ file:
```
5
Lattice="4.2157 0.0000 0.0000 0.0000 4.2157 0.0000 0.0000 0.0000 4.2157" Properties=species:S:1:pos:R:3 pbc="T T T"
In 0.0000 0.0000 0.0000
Hg 2.1078 2.1078 2.1078
N 0.0000 2.1078 2.1078
N 2.1078 0.0000 2.1078
N 2.1078 2.1078 0.0000
```


3.
DFT (GGA-PBEsol) results for a relaxed In2HgN crystal.

## Properties
SG: Fm-3m, No. 225
Formation energy (no corrections) (kJ/mol of atoms): 81

extended XYZ file:
```
4
Lattice="0.0000 3.3811 3.3811 3.3811 0.0000 3.3811 3.3811 3.3811 0.0000" Properties=species:S:1:pos:R:3 pbc="T T T"
In 1.6906 1.6906 1.6906
In 5.0717 5.0717 5.0717
Hg 0.0000 0.0000 0.0000
N 3.3811 3.3811 3.3811
```


4.
DFT (GGA-PBEsol) results for a relaxed InHg2N crystal.

## Properties
SG: Fm-3m, No. 225
Formation energy (no corrections) (kJ/mol of atoms): 102

extended XYZ file:
```
4
Lattice="0.0000 3.3907 3.3907 3.3907 0.0000 3.3907 3.3907 3.3907 0.0000" Properties=species:S:1:pos:R:3 pbc="T T T"
In 0.0000 0.0000 0.0000
Hg 1.6954 1.6954 1.6954
Hg 5.0861 5.0861 5.0861
N 3.3907 3.3907 3.3907
```


5.
DFT (GGA-PBEsol) results for a relaxed InHgTe2N crystal.

## Properties
SG: P4/mmm, No. 123
Formation energy (no corrections) (kJ/mol of atoms): 82

extended XYZ file:
```
5
Lattice="5.8498 0.0000 0.0000 0.0000 5.8498 0.0000 0.0000 0.0000 3.9439" Properties=species:S:1:pos:R:3 pbc="T T T"
In 0.0000 0.0000 0.0000
Hg 2.9249 2.9249 1.9719
Te 0.0000 2.9249 0.0000
Te 2.9249 0.0000 0.0000
N 0.0000 0.0000 1.9719
```


6.
DFT (GGA-PBEsol) results for a relaxed Na2InHg2 crystal.

## Properties
SG: P4/mbm, No. 127
Energy of formation (eV/atom): -0.177

extended XYZ file:
```
10
Lattice="8.0900 0.0000 0.0000 0.0000 8.0900 0.0000 0.0000 0.0000 3.7220" Properties=species:S:1:pos:R:3 pbc="T T T"
Na 1.3576 2.6874 0.0000
Na 2.6874 6.7324 0.0000
Na 5.4026 1.3576 0.0000
Na 6.7324 5.4026 0.0000
In 0.0000 0.0000 1.8610
In 4.0450 4.0450 1.8610
Hg 1.0623 5.1073 1.8610
Hg 2.9826 1.0623 1.8610
Hg 5.1073 7.0276 1.8610
Hg 7.0276 2.9826 1.8610
```


7.
DFT (GGA-PBEsol) results for a relaxed Na2In2Hg crystal.

## Properties
SG: I4/mmm, No. 139
Energy of formation (eV/atom): 0.063

extended XYZ file:
```
5
Lattice="-2.0795 2.0795 7.5950 2.0795 -2.0795 7.5950 2.0795 2.0795 -7.5950" Properties=species:S:1:pos:R:3 pbc="T T T"
Na 2.0795 0.0000 3.7975
Na 0.0000 2.0795 3.7975
In 0.0000 0.0000 1.4009
In 0.0000 0.0000 13.7892
Hg 0.0000 0.0000 7.5950
```


8.
DFT (GGA-PBEsol) results for a relaxed Na2In2Hg crystal.

## Properties
SG: P4/mbm, No. 127
Energy of formation (eV/atom): -0.103

extended XYZ file:
```
10
Lattice="7.3077 0.0000 0.0000 0.0000 7.3077 0.0000 0.0000 0.0000 5.0696" Properties=species:S:1:pos:R:3 pbc="T T T"
Na 1.2426 2.4112 0.0000
Na 2.4112 6.0650 0.0000
Na 4.8965 1.2426 0.0000
Na 6.0650 4.8965 0.0000
In 1.0048 4.6586 2.5348
In 2.6490 1.0048 2.5348
In 4.6586 6.3029 2.5348
In 6.3029 2.6490 2.5348
Hg 0.0000 0.0000 2.5348
Hg 3.6538 3.6538 2.5348
```


9.
DFT (GGA-PBEsol) results for a relaxed Nb3InHg crystal.

## Properties
SG: Pm-3m, No. 221
Energy of formation (eV/atom): 1.769

extended XYZ file:
```
5
Lattice="4.9591 0.0000 0.0000 0.0000 4.9591 0.0000 0.0000 0.0000 4.9591" Properties=species:S:1:pos:R:3 pbc="T T T"
Nb 0.0000 0.0000 2.4796
Nb 0.0000 2.4796 0.0000
Nb 2.4796 0.0000 0.0000
In 0.0000 0.0000 0.0000
Hg 2.4796 2.4796 2.4796
```


10.
DFT (GGA-PBEsol) results for a relaxed NbIn3Hg crystal.

## Properties
SG: Pm-3m, No. 221
Energy of formation (eV/atom): 1.174

extended XYZ file:
```
5
Lattice="5.2848 0.0000 0.0000 0.0000 5.2848 0.0000 0.0000 0.0000 5.2848" Properties=species:S:1:pos:R:3 pbc="T T T"
Nb 0.0000 0.0000 0.0000
In 0.0000 2.6424 2.6424
In 2.6424 0.0000 2.6424
In 2.6424 2.6424 0.0000
Hg 2.6424 2.6424 2.6424
```


11.
DFT (GGA-PBEsol) results for a relaxed NbIn2NiHg crystal.

## Properties
SG: P4/mmm, No. 123
Energy of formation (eV/atom): 0.361

extended XYZ file:
```
5
Lattice="4.7293 0.0000 0.0000 0.0000 4.7293 0.0000 0.0000 0.0000 4.7319" Properties=species:S:1:pos:R:3 pbc="T T T"
Nb 0.0000 0.0000 0.0000
In 0.0000 2.3647 2.3660
In 2.3647 0.0000 2.3660
Ni 0.0000 0.0000 2.3660
Hg 2.3647 2.3647 0.0000
```


12.
DFT (GGA-PBEsol) results for a relaxed Nd2InHg crystal.

## Properties
SG: Fm-3m, No. 225
Energy of formation (eV/atom): -0.525

extended XYZ file:
```
4
Lattice="0.0000 3.7962 3.7962 3.7962 0.0000 3.7962 3.7962 3.7962 0.0000" Properties=species:S:1:pos:R:3 pbc="T T T"
Nd 1.8981 1.8981 1.8981
Nd 5.6943 5.6943 5.6943
In 0.0000 0.0000 0.0000
Hg 3.7962 3.7962 3.7962
```


13.
DFT (GGA-PBEsol) results for a relaxed InNi2Hg crystal.

## Properties
SG: Pmm2, No. 25
Energy of formation (eV/atom): -0.004

extended XYZ file:
```
4
Lattice="3.1419 0.0000 0.0000 0.0000 4.3445 0.0000 0.0000 0.0000 4.3459" Properties=species:S:1:pos:R:3 pbc="T T T"
In 0.0000 0.0000 0.0000
Ni 1.5710 0.0000 2.1721
Ni 1.5710 2.1722 0.0080
Hg 0.0000 2.1722 2.1787
```


14.
DFT (GGA-PBEsol) results for a relaxed InNi2Hg crystal.

## Properties
SG: I4/mmm, No. 139
Energy of formation (eV/atom): -0.011

extended XYZ file:
```
4
Lattice="-2.1943 2.1943 3.0792 2.1943 -2.1943 3.0792 2.1943 2.1943 -3.0792" Properties=species:S:1:pos:R:3 pbc="T T T"
In 0.0000 0.0000 0.0000
Ni 2.1943 0.0000 1.5396
Ni 0.0000 2.1943 1.5396
Hg 0.0000 0.0000 3.0792
```


15.
DFT (GGA-PBEsol) results for a relaxed In3NiHg crystal.

## Properties
SG: Pm-3m, No. 221
Energy of formation (eV/atom): -0.064

extended XYZ file:
```
5
Lattice="4.9034 0.0000 0.0000 0.0000 4.9034 0.0000 0.0000 0.0000 4.9034" Properties=species:S:1:pos:R:3 pbc="T T T"
In 0.0000 0.0000 2.4517
In 0.0000 2.4517 0.0000
In 2.4517 0.0000 0.0000
Ni 0.0000 0.0000 0.0000
Hg 2.4517 2.4517 2.4517
```


16.
DFT (GGA-PBEsol) results for a relaxed InNiHg3 crystal.

## Properties
SG: Pm-3m, No. 221
Energy of formation (eV/atom): 0.156

extended XYZ file:
```
5
Lattice="4.9464 0.0000 0.0000 0.0000 4.9464 0.0000 0.0000 0.0000 4.9464" Properties=species:S:1:pos:R:3 pbc="T T T"
In 0.0000 0.0000 0.0000
Ni 2.4732 2.4732 2.4732
Hg 0.0000 2.4732 2.4732
Hg 2.4732 0.0000 2.4732
Hg 2.4732 2.4732 0.0000
```


17.
DFT (GGA-PBEsol) results for a relaxed ZnInNiHg2 crystal.

## Properties
SG: P4/mmm, No. 123
Energy of formation (eV/atom): 0.184

extended XYZ file:
```
5
Lattice="4.9516 0.0000 0.0000 0.0000 4.9516 0.0000 0.0000 0.0000 4.5408" Properties=species:S:1:pos:R:3 pbc="T T T"
Zn 0.0000 0.0000 0.0000
In 2.4758 2.4758 0.0000
Ni 0.0000 0.0000 2.2704
Hg 0.0000 2.4758 2.2704
Hg 2.4758 0.0000 2.2704
```


18.
DFT (GGA-PBEsol) results for a relaxed In3HgO crystal.

## Properties
SG: Pm-3m, No. 221
Formation energy (no corrections) (kJ/mol of atoms): -21

extended XYZ file:
```
5
Lattice="4.7877 0.0000 0.0000 0.0000 4.7877 0.0000 0.0000 0.0000 4.7877" Properties=species:S:1:pos:R:3 pbc="T T T"
In 0.0000 0.0000 2.3938
In 0.0000 2.3938 0.0000
In 2.3938 0.0000 0.0000
Hg 2.3938 2.3938 2.3938
O 0.0000 0.0000 0.0000
```


19.
DFT (GGA-PBEsol) results for a relaxed In2HgO4 crystal.

## Properties
SG: Fd-3m, No. 227
Formation energy (no corrections) (kJ/mol of atoms): -119

extended XYZ file:
```
14
Lattice="0.0000 4.6412 4.6412 4.6412 0.0000 4.6412 4.6412 4.6412 0.0000" Properties=species:S:1:pos:R:3 pbc="T T T"
In 0.0000 0.0000 0.0000
In 2.3206 2.3206 0.0000
In 2.3206 0.0000 2.3206
In 0.0000 2.3206 2.3206
Hg 3.4809 3.4809 3.4809
Hg 5.8015 5.8015 5.8015
O 7.1023 4.5008 4.5008
O 2.1802 2.1802 2.1802
O 4.7817 4.7817 2.1802
O 4.7817 2.1802 4.7817
O 4.5008 7.1023 4.5008
O 4.5008 4.5008 7.1023
O 7.1023 7.1023 7.1023
O 2.1802 4.7817 4.7817
```


20.
DFT (GGA-PBEsol) results for a relaxed In2HgOs crystal.

## Properties
SG: I-4m2, No. 119
Energy of formation (eV/atom): 0.437

extended XYZ file:
```
4
Lattice="-2.0507 2.0507 4.3999 2.0507 -2.0507 4.3999 2.0507 2.0507 -4.3999" Properties=species:S:1:pos:R:3 pbc="T T T"
In 0.0000 0.0000 0.0000
In 0.0000 2.0507 2.1999
Hg 2.0507 0.0000 2.1999
Os 0.0000 0.0000 4.3999
```


How do the records compare in mass density? In the order shown, they have 12.17; 7.92; 9.54; 11.29; 7.19; 7.66; 6.02; 5.84; 8.09; 7.18; 9.13; 9.17; 12.11; 12.12; 8.50; 10.64; 9.55; 8.49; 8.21; 13.92 g/cm³.
How do the records compare in total moment? In the order shown, they have 0.00; 2.73; 0.01; 1.62; 1.61; 0.00; 0.00; 0.00; 0.00; 3.35; 0.00; 0.28; 0.00; 0.00; 0.00; 0.00; 0.00; 0.00; 0.00; 0.00 μB per cell.